## ZnCoP2 (PBE)

Data for a relaxed ZnCoP2 crystal.

Its total magnetization is 0.00 μB per formula unit. The value obtained for the total energy is -19.49 eV for the cell shown. The calculation puts the formation energy at -74 meV per atom. The calculation puts the calculated volume at 15.0 A^3/atom.

Cell lengths 2.5797, 3.4276, 6.7635 Å; angles 90.00, 90.00, 90.00 degrees
Closest atoms and distances in Å follow each position.
Space group Pmm2 (No. 25)
One atom of each set of equivalent atoms:
1 Zn 0.0000 0.0000 0.0000  5 P 2.38-2.56, 2 Zn 2.58
2 Co 0.5000 0.5000 0.4712  5 P 2.18-2.29
3 P 0.0000 0.0000 0.3512  4 Co 2.29, 1 Zn 2.38
4 P 0.5000 0.5000 0.7937  1 Co 2.18